(1)
A geometry-optimized BeRh2Pb structure. Source: Alexandria, functional GGA-PBE.

abc: 5.0411 5.0411 5.0411
angles: 135.55 135.55 64.67
Last column: nearest neighbours and their distance in Å.
Fractional positions:
Rh  0.2500  0.7500  0.5000  4 Pb 2.70, 4 Be 2.86, 4 Rh 2.86
Rh  0.0000  0.0000  0.0000  4 Be 2.70, 4 Rh 2.86, 4 Pb 2.86
Pb  0.7500  0.2500  0.5000  8 Rh 2.70-2.86, 4 Be 2.86
Be  0.5000  0.5000  0.0000  8 Rh 2.70-2.86, 4 Pb 2.86

Magnetization (μB per cell): 0.00
Density of states at the Fermi level (states/eV/atom): 1.10
Electronic total energy (eV/atom): -5.38
Polymorph energy (0 for the lowest one) (meV per atom): 260

---

(2)
A geometry-optimized LiSc4Ru2 structure. Source: Alexandria, functional GGA-PBE.

abc: 4.6089 4.6089 7.7247
angles: 72.64 72.64 60.00
Last column: nearest neighbours and their distance in Å.
Fractional positions:
Ru  0.7469  0.7469  0.7592  8 Sc 2.68-2.87
Sc  0.8703  0.8703  0.3892  4 Ru 2.68-2.87, 1 Li 2.82
Ru  0.2531  0.2531  0.2408  8 Sc 2.68-2.87
Sc  0.3806  0.3806  0.8583  4 Ru 2.76-2.77, 3 Li 2.85
Li  0.0000  0.0000  0.0000  8 Sc 2.82-2.85
Sc  0.6194  0.6194  0.1417  4 Ru 2.76-2.77, 3 Li 2.85
Sc  0.1297  0.1297  0.6108  4 Ru 2.68-2.87, 1 Li 2.82

Magnetization (μB per cell): 0.00
Density of states at the Fermi level (states/eV/atom): 0.67
Electronic total energy (eV/atom): -6.89

---

(3)
A geometry-optimized CaReAu structure. Source: Alexandria, functional GGA-PBE.

abc: 7.2839 7.2835 2.8349
angles: 78.79 78.77 22.44
Last column: nearest neighbours and their distance in Å.
Fractional positions:
Ca  0.3314  0.3314  0.6686  4 Ca 2.83, 4 Re 3.13
Au  0.0092  0.0092  0.9908  4 Au 2.83, 4 Re 2.91
Re  0.6594  0.6594  0.3406  4 Re 2.83, 4 Au 2.91, 4 Ca 3.13

Magnetization (μB per cell): 0.00
Density of states at the Fermi level (states/eV/atom): 0.20
Electronic total energy (eV/atom): -5.51
Polymorph energy (0 for the lowest one) (meV per atom): 0

---

(4)
A geometry-optimized Mg2Sc5Tc2Pd structure. Source: Alexandria, functional GGA-PBE.

abc: 3.4681 10.9288 10.9288
angles: 90.00 90.00 90.00
Last column: nearest neighbours and their distance in Å.
Fractional positions:
Sc  0.5000  0.5000  0.0000  4 Tc 2.67
Tc  0.0000  0.8689  0.3689  6 Sc 2.61-2.67
Pd  0.0000  0.5000  0.5000  8 Sc 2.90
Sc  0.5000  0.7010  0.4304  2 Tc 2.61, 2 Pd 2.90
Sc  0.5000  0.4304  0.2990  2 Tc 2.61, 2 Pd 2.90
Mg  0.0000  0.8252  0.6748  1 Tc 3.00, 6 Sc 3.21-3.30
Sc  0.5000  0.5696  0.7010  2 Tc 2.61, 2 Pd 2.90
Mg  0.0000  0.1748  0.3252  1 Tc 3.00, 6 Sc 3.21-3.30
Sc  0.5000  0.2990  0.5696  2 Tc 2.61, 2 Pd 2.90
Sc  0.5000  0.2010  0.0696  2 Tc 2.61, 2 Pd 2.90
Sc  0.5000  0.0000  0.5000  4 Tc 2.67
Mg  0.0000  0.3252  0.8252  1 Tc 3.00, 6 Sc 3.21-3.30
Tc  0.0000  0.6311  0.8689  6 Sc 2.61-2.67
Pd  0.0000  0.0000  0.0000  8 Sc 2.90
Tc  0.0000  0.1311  0.6311  6 Sc 2.61-2.67
Sc  0.5000  0.7990  0.9304  2 Tc 2.61, 2 Pd 2.90
Sc  0.5000  0.9304  0.2010  2 Tc 2.61, 2 Pd 2.90
Mg  0.0000  0.6748  0.1748  1 Tc 3.00, 6 Sc 3.21-3.30
Sc  0.5000  0.0696  0.7990  2 Tc 2.61, 2 Pd 2.90
Tc  0.0000  0.3689  0.1311  6 Sc 2.61-2.67

Magnetization (μB per cell): 0.00
Density of states at the Fermi level (states/eV/atom): 0.69
Electronic total energy (eV/atom): -6.29